(1)
Compound: La2P2PbN6
Source: Alexandria
Functional: PBE
Structure: relaxed

Geometry as POSCAR:
```
La2P2PbN6
1.0
5.888 0.000 0.000
-1.696 5.757 0.000
-1.392 -3.118 5.722
La P Pb N
2 2 1 6
Direct
0.223 0.106 0.326
0.777 0.894 0.674
0.045 0.513 0.261
0.955 0.487 0.739
0.500 0.500 0.000
0.071 0.274 0.658
0.122 0.792 0.909
0.347 0.614 0.357
0.653 0.386 0.643
0.878 0.208 0.091
0.929 0.726 0.342
```

Values from the calculation:
- Magnetic moment: 0.00 μB/atom
- Final energy: -7.410 eV per atom
- Raw formation energy: -0.65 eV per atom

(2)
Compound: La2P2PdN6
Source: Alexandria
Functional: PBE
Structure: relaxed

Geometry as POSCAR:
```
La2P2PdN6
1.0
2.759 1.593 5.416
-2.759 1.593 5.416
0.000 -3.185 5.416
La P Pd N
2 2 1 6
Direct
0.219 0.219 0.219
0.781 0.781 0.781
0.432 0.432 0.432
0.568 0.568 0.568
0.000 0.000 0.000
0.244 0.749 0.749
0.251 0.251 0.756
0.251 0.756 0.251
0.749 0.244 0.749
0.749 0.749 0.244
0.756 0.251 0.251
```

Values from the calculation:
- Magnetic moment: 0.00 μB/atom
- Final energy: -7.453 eV per atom
- Raw formation energy: -0.56 eV per atom

(3)
Compound: LaPmPN
Source: Alexandria
Functional: PBE
Structure: relaxed

Geometry as POSCAR:
```
LaPmPN
1.0
4.060 0.000 0.000
-2.030 3.516 0.000
0.000 0.000 13.493
La Pm P N
2 2 2 2
Direct
0.000 0.000 0.000
0.000 0.000 0.500
0.333 0.667 0.261
0.667 0.333 0.761
0.333 0.667 0.618
0.667 0.333 0.118
0.000 0.000 0.331
0.000 0.000 0.831
```

Values from the calculation:
- Magnetic moment: 0.00 μB/atom
- Final energy: -7.102 eV per atom
- Raw formation energy: -1.25 eV per atom

(4)
Compound: La2PmP2N6
Source: Alexandria
Functional: PBE
Structure: relaxed

Geometry as POSCAR:
```
La2PmP2N6
1.0
4.929 -2.800 0.000
4.929 2.800 0.000
-3.370 0.000 5.917
La Pm P N
2 1 2 6
Direct
0.204 0.204 0.180
0.796 0.796 0.820
0.000 0.000 0.500
0.457 0.457 0.739
0.543 0.543 0.261
0.202 0.690 0.174
0.273 0.273 0.630
0.310 0.798 0.826
0.690 0.202 0.174
0.727 0.727 0.370
0.798 0.310 0.826
```

Values from the calculation:
- Magnetic moment: 0.00 μB/atom
- Final energy: -7.900 eV per atom
- Raw formation energy: -1.05 eV per atom